(w)
Compound: Mg2CoRu
Source: Alexandria
Functional: GGA-PBE
Structure: relaxed

Cell lengths 5.014, 5.014, 2.693 Å; angles 97.83, 97.83, 113.98 degrees
Atoms (fractional coordinates):
1 Mg 0.000 0.500 0.000
2 Mg 0.500 0.000 0.000
3 Co 0.000 0.000 0.500
4 Ru 0.500 0.500 0.500



(x)
Compound: Mg2CoRu
Source: Alexandria
Functional: GGA-PBE
Structure: relaxed

Cell lengths 2.911, 4.235, 5.252 Å; angles 90.00, 102.03, 90.00 degrees
Atoms (fractional coordinates):
1 Mg 0.000 0.000 0.000
2 Mg 0.269 0.500 0.678
3 Co 0.613 0.000 0.447
4 Ru 0.636 0.500 0.224



Top of the stability list: (x), leading by 49 meV/atom.



(w)
Compound: Mg2CoRu
Source: Alexandria
Functional: GGA-PBE
Structure: relaxed

Cell lengths 4.873, 4.873, 4.873 Å; angles 133.27, 133.27, 68.23 degrees
Atoms (fractional coordinates):
1 Mg 0.250 0.750 0.500
2 Mg 0.750 0.250 0.500
3 Co 0.000 0.000 0.000
4 Ru 0.500 0.500 0.000



(x)
Compound: Mg2CoRu
Source: Alexandria
Functional: GGA-PBE
Structure: relaxed

Cell lengths 2.763, 2.763, 7.916 Å; angles 90.00, 90.00, 90.00 degrees
Atoms (fractional coordinates):
1 Mg 0.000 0.000 0.242
2 Mg 0.000 0.000 0.758
3 Co 0.500 0.500 0.000
4 Ru 0.500 0.500 0.500



Top of the stability list: (w), leading by 44 meV/atom.



(w)
Compound: Mg2CoRu
Source: Alexandria
Functional: GGA-PBE
Structure: relaxed

Cell lengths 2.732, 2.732, 8.486 Å; angles 90.00, 90.00, 108.68 degrees
Atoms (fractional coordinates):
1 Mg 0.000 0.000 0.243
2 Mg 0.000 0.000 0.757
3 Co 0.500 0.500 0.000
4 Ru 0.500 0.500 0.500



(x)
Compound: Mg2CoRu
Source: Alexandria
Functional: GGA-PBE
Structure: relaxed

Cell lengths 5.603, 5.603, 5.603 Å; angles 102.88, 102.88, 123.65 degrees
Atoms (fractional coordinates):
1 Mg 0.111 0.625 0.986
2 Mg 0.375 0.361 0.486
3 Mg 0.639 0.125 0.014
4 Mg 0.875 0.889 0.514
5 Co 0.000 0.000 0.000
6 Co 0.750 0.250 0.500
7 Ru 0.250 0.750 0.500
8 Ru 0.500 0.500 0.000



(y)
Compound: Mg2CoRu
Source: Alexandria
Functional: GGA-PBE
Structure: relaxed

Cell lengths 3.395, 4.155, 4.234 Å; angles 90.00, 90.00, 90.00 degrees
Atoms (fractional coordinates):
1 Mg 0.000 0.000 0.000
2 Mg 0.500 0.000 0.500
3 Co 0.000 0.500 0.500
4 Ru 0.500 0.500 0.000



(z)
Compound: Mg2CoRu
Source: Alexandria
Functional: GGA-PBE
Structure: relaxed

Cell lengths 8.892, 8.892, 8.892 Å; angles 18.25, 18.25, 18.25 degrees
Atoms (fractional coordinates):
1 Mg 0.248 0.248 0.248
2 Mg 0.752 0.752 0.752
3 Co 0.500 0.500 0.500
4 Ru 0.000 0.000 0.000



Top of the stability list: (y), leading by 49 meV/atom.



(w)
Compound: Mg2CoRu
Source: Alexandria
Functional: GGA-PBE
Structure: relaxed

Cell lengths 4.873, 4.873, 2.721 Å; angles 90.00, 90.00, 111.15 degrees
Atoms (fractional coordinates):
1 Mg 0.000 0.500 0.000
2 Mg 0.500 0.000 0.000
3 Co 0.000 0.000 0.500
4 Ru 0.500 0.500 0.500



(x)
Compound: Mg2CoRu
Source: Alexandria
Functional: GGA-PBE
Structure: relaxed

Cell lengths 2.990, 2.990, 7.216 Å; angles 90.00, 90.00, 90.00 degrees
Atoms (fractional coordinates):
1 Mg 0.000 0.000 0.000
2 Mg 0.500 0.500 0.341
3 Co 0.500 0.500 0.769
4 Ru 0.000 0.000 0.587



Top of the stability list: (x), leading by 131 meV/atom.



(w)
Compound: Mg2CoRu2
Source: Alexandria
Functional: GGA-PBE
Structure: relaxed

Cell lengths 5.021, 5.021, 5.021 Å; angles 120.14, 120.14, 89.76 degrees
Atoms (fractional coordinates):
1 Mg 0.250 0.750 0.500
2 Mg 0.750 0.250 0.500
3 Co 0.000 0.000 0.000
4 Ru 0.338 0.338 0.000
5 Ru 0.662 0.662 0.000



(x)
Compound: Mg2CoRu2
Source: Alexandria
Functional: GGA-PBE
Structure: relaxed

Cell lengths 6.212, 6.212, 4.264 Å; angles 90.00, 90.00, 90.00 degrees
Atoms (fractional coordinates):
1 Mg 0.171 0.329 0.000
2 Mg 0.329 0.829 0.000
3 Mg 0.671 0.171 0.000
4 Mg 0.829 0.671 0.000
5 Co 0.000 0.000 0.500
6 Co 0.500 0.500 0.500
7 Ru 0.137 0.637 0.500
8 Ru 0.363 0.137 0.500
9 Ru 0.637 0.863 0.500
10 Ru 0.863 0.363 0.500



Top of the stability list: (x), leading by 573 meV/atom.



(w)
Compound: MgCo3S
Source: Alexandria
Functional: GGA-PBE
Structure: relaxed

Cell lengths 4.403, 4.403, 4.403 Å; angles 90.00, 90.00, 90.00 degrees
Atoms (fractional coordinates):
1 Mg 0.000 0.000 0.000
2 Co 0.000 0.000 0.500
3 Co 0.000 0.500 0.000
4 Co 0.500 0.000 0.000
5 S 0.500 0.500 0.500



(x)
Compound: MgCo3S
Source: Alexandria
Functional: GGA-PBE
Structure: relaxed

Cell lengths 4.126, 4.126, 4.126 Å; angles 90.00, 90.00, 90.00 degrees
Atoms (fractional coordinates):
1 Mg 0.000 0.000 0.000
2 Co 0.000 0.500 0.500
3 Co 0.500 0.000 0.500
4 Co 0.500 0.500 0.000
5 S 0.500 0.500 0.500



Top of the stability list: (x), leading by 1588 meV/atom.



(w)
Compound: MgCo2S4
Source: Alexandria
Functional: GGA-PBE
Structure: relaxed

Cell lengths 6.841, 6.841, 6.841 Å; angles 120.27, 118.64, 90.95 degrees
Atoms (fractional coordinates):
1 Mg 0.000 0.000 0.000
2 Mg 0.500 0.000 0.500
3 Co 0.000 0.500 0.500
4 Co 0.500 0.000 0.000
5 Co 0.500 0.500 0.000
6 Co 0.500 0.500 0.500
7 S 0.266 0.296 0.530
8 S 0.266 0.736 0.970
9 S 0.273 0.739 0.534
10 S 0.295 0.261 0.034
11 S 0.705 0.739 0.966
12 S 0.727 0.261 0.466
13 S 0.734 0.264 0.030
14 S 0.734 0.704 0.470



(x)
Compound: MgCo2S4
Source: Alexandria
Functional: GGA-PBE
Structure: relaxed

Cell lengths 6.890, 6.890, 6.890 Å; angles 120.53, 119.53, 89.95 degrees
Atoms (fractional coordinates):
1 Mg 0.500 0.000 0.000
2 Mg 0.500 0.500 0.500
3 Co 0.000 0.000 0.000
4 Co 0.125 0.375 0.750
5 Co 0.500 0.000 0.500
6 Co 0.875 0.625 0.250
7 S 0.224 0.234 0.990
8 S 0.243 0.219 0.476
9 S 0.243 0.767 0.024
10 S 0.256 0.766 0.490
11 S 0.744 0.234 0.510
12 S 0.757 0.233 0.976
13 S 0.757 0.781 0.524
14 S 0.776 0.766 0.010



(y)
Compound: MgCo2S4
Source: Alexandria
Functional: GGA-PBE
Structure: relaxed

Cell lengths 6.923, 6.923, 6.923 Å; angles 60.00, 60.00, 60.00 degrees
Atoms (fractional coordinates):
1 Mg 0.125 0.125 0.125
2 Mg 0.875 0.875 0.875
3 Co 0.000 0.500 0.500
4 Co 0.500 0.000 0.500
5 Co 0.500 0.500 0.000
6 Co 0.500 0.500 0.500
7 S 0.268 0.268 0.268
8 S 0.268 0.268 0.695
9 S 0.268 0.695 0.268
10 S 0.305 0.732 0.732
11 S 0.695 0.268 0.268
12 S 0.732 0.305 0.732
13 S 0.732 0.732 0.305
14 S 0.732 0.732 0.732



Top of the stability list: (y), leading by 61 meV/atom.



(w)
Compound: MgCo2Sb2
Source: Alexandria
Functional: GGA-PBE
Structure: relaxed

Cell lengths 7.204, 7.204, 3.303 Å; angles 90.00, 90.00, 90.00 degrees
Atoms (fractional coordinates):
1 Mg 0.000 0.000 0.000
2 Mg 0.500 0.500 0.000
3 Co 0.129 0.371 0.000
4 Co 0.371 0.871 0.000
5 Co 0.629 0.129 0.000
6 Co 0.871 0.629 0.000
7 Sb 0.164 0.664 0.500
8 Sb 0.336 0.164 0.500
9 Sb 0.664 0.836 0.500
10 Sb 0.836 0.336 0.500



(x)
Compound: MgCo2Sb2
Source: Alexandria
Functional: GGA-PBE
Structure: relaxed

Cell lengths 7.558, 7.558, 3.089 Å; angles 90.00, 90.00, 90.00 degrees
Atoms (fractional coordinates):
1 Mg 0.000 0.000 0.000
2 Mg 0.500 0.500 0.000
3 Co 0.133 0.367 0.500
4 Co 0.367 0.867 0.500
5 Co 0.633 0.133 0.500
6 Co 0.867 0.633 0.500
7 Sb 0.153 0.653 0.000
8 Sb 0.347 0.153 0.000
9 Sb 0.653 0.847 0.000
10 Sb 0.847 0.347 0.000



Top of the stability list: (w), leading by 124 meV/atom.



(w)
Compound: MgCo2Sb2
Source: Alexandria
Functional: GGA-PBE
Structure: relaxed

Cell lengths 6.151, 6.151, 6.151 Å; angles 139.41, 139.41, 58.76 degrees
Atoms (fractional coordinates):
1 Mg 0.000 0.000 0.000
2 Co 0.250 0.750 0.500
3 Co 0.750 0.250 0.500
4 Sb 0.368 0.368 0.000
5 Sb 0.632 0.632 0.000



(x)
Compound: MgCo2Sb2
Source: Alexandria
Functional: GGA-PBE
Structure: relaxed

Cell lengths 5.700, 5.700, 5.700 Å; angles 133.08, 133.08, 68.53 degrees
Atoms (fractional coordinates):
1 Mg 0.000 0.000 0.000
2 Co 0.381 0.381 0.000
3 Co 0.619 0.619 0.000
4 Sb 0.250 0.750 0.500
5 Sb 0.750 0.250 0.500



Top of the stability list: (w), leading by 153 meV/atom.



(w)
Compound: Mg2CoSb2
Source: Alexandria
Functional: GGA-PBE
Structure: relaxed

Cell lengths 7.947, 7.947, 7.947 Å; angles 149.36, 149.36, 43.89 degrees
Atoms (fractional coordinates):
1 Mg 0.094 0.094 0.000
2 Mg 0.906 0.906 0.000
3 Co 0.500 0.500 0.000
4 Sb 0.250 0.750 0.500
5 Sb 0.750 0.250 0.500



(x)
Compound: Mg2CoSb2
Source: Alexandria
Functional: GGA-PBE
Structure: relaxed

Cell lengths 6.623, 6.623, 5.005 Å; angles 90.00, 90.00, 90.00 degrees
Atoms (fractional coordinates):
1 Mg 0.171 0.329 0.000
2 Mg 0.329 0.829 0.000
3 Mg 0.671 0.171 0.000
4 Mg 0.829 0.671 0.000
5 Co 0.000 0.000 0.500
6 Co 0.500 0.500 0.500
7 Sb 0.156 0.656 0.500
8 Sb 0.344 0.156 0.500
9 Sb 0.656 0.844 0.500
10 Sb 0.844 0.344 0.500



Top of the stability list: (x), leading by 573 meV/atom.



(w)
Compound: Mg2Sc2Co
Source: Alexandria
Functional: GGA-PBE
Structure: relaxed

Cell lengths 10.271, 10.271, 10.271 Å; angles 162.25, 162.25, 25.20 degrees
Atoms (fractional coordinates):
1 Mg 0.195 0.195 0.000
2 Mg 0.805 0.805 0.000
3 Sc 0.424 0.424 0.000
4 Sc 0.576 0.576 0.000
5 Co 0.000 0.000 0.000



(x)
Compound: Mg2Sc2Co
Source: Alexandria
Functional: GGA-PBE
Structure: relaxed

Cell lengths 6.528, 6.528, 4.809 Å; angles 90.00, 90.00, 90.00 degrees
Atoms (fractional coordinates):
1 Mg 0.147 0.353 0.000
2 Mg 0.353 0.853 0.000
3 Mg 0.647 0.147 0.000
4 Mg 0.853 0.647 0.000
5 Sc 0.179 0.679 0.500
6 Sc 0.321 0.179 0.500
7 Sc 0.679 0.821 0.500
8 Sc 0.821 0.321 0.500
9 Co 0.000 0.000 0.000
10 Co 0.500 0.500 0.000



Top of the stability list: (w), leading by 469 meV/atom.